This record from Alexandria describes a relaxed CaVNiO4 crystal. The functional is GGA+U.

The structure in POSCAR format:
```
CaVNiO4
1.0
-1.022 -3.221 4.516
-2.198 -4.111 -3.429
5.765 -1.335 -2.094
O Ca V Ni
8 2 2 2
direct
0.452 0.750 0.622
0.506 0.250 0.818
0.494 0.750 0.182
0.075 0.516 0.250
0.925 0.016 0.750
0.548 0.250 0.378
0.925 0.484 0.750
0.075 0.984 0.250
0.756 0.750 0.971
0.244 0.250 0.029
0.283 0.750 0.337
0.717 0.250 0.663
0.230 0.250 0.495
0.770 0.750 0.505
```

## Properties
DFT total energy	-6.39	eV/atom
space-group type	P2_1/m (11)
magnetization	2.00	Bohr magnetons per cell